Here is a relaxed structure of FeAu3 from Alexandria via LeMat-Bulk. Energies are from GGA-PBEsol.

Cell: 2.816 2.816 7.909 Å, 90.00 90.00 90.00°
Space group P4/mmm (No. 123)
One atom of each set of equivalent atoms:
Fe 0.000 0.000 0.000 (multiplicity 1)
Au 0.000 0.000 0.500 (multiplicity 1)
Au 0.500 0.500 0.229 (multiplicity 2)

Output
The calculation puts the calculated formation energy at 0.082 eV per atom. For the raw total energy, the calculation gives -20.4 eV for the cell shown.